Ac3CdIn3, optimized geometry, DFT PBE; formation enthalpy at 0 K = -0.432 eV per atom; space group = C2/m; density of states at the Fermi level = 5.758 states/eV/f.u.
1.0
0.4373 4.6331 2.0113
0.1107 -0.0959 6.5862
15.4787 0.7896 1.2054
In Ac Cd
6 6 2
direct
0.1317 0.2800 0.4566
0.8683 0.7200 0.5434
0.1130 0.8482 0.9259
0.8870 0.1518 0.0741
0.9645 0.8380 0.2330
0.0355 0.1620 0.7670
0.5992 0.7215 0.0802
0.7427 0.7377 0.7770
0.5390 0.3054 0.6167
0.4610 0.6946 0.3833
0.2573 0.2623 0.2230
0.4008 0.2785 0.9198
0.2463 0.9006 0.6069
0.7537 0.0994 0.3931